1.
Material: LaTiCu
Method: DFT, PBE-GGA
State: optimized geometry

The space group is P-1 (No. 2) and the conventional cell measures 3.2772, 5.9843 and 7.3168 Å, with angles of 109.49, 90.07 and 105.86 degrees. Symmetry generates all atoms from La at (0.0037, 0.0085, 0.2405), Ti at (0.2882, 0.5767, 0.3739) and Cu at (0.3019, 0.6035, 0.9252).

The calculation puts the magnetization at 0.00 μB per atom. Its energy of formation is 0.135 eV per atom. Its energy relative to the lowest polymorph listed for this composition is 0.121 eV per atom. As for the density: 6.422 g cm⁻³.


2.
Material: Pm6Sm2Cd
Method: DFT, PBE-GGA
State: optimized geometry

The space group is P2_1/m (No. 11) and the conventional cell measures 8.3109, 5.2257 and 14.2797 Å, with angles of 90.00, 106.79 and 90.00 degrees. Symmetry generates all atoms from Pm at (0.0020, 0.2500, 0.1737), Pm at (0.1800, 0.7500, 0.3537), Pm at (0.2736, 0.2500, 0.7658), Pm at (0.2743, 0.7500, 0.1225), Pm at (0.4541, 0.2500, 0.2996), Pm at (0.4671, 0.7500, 0.9250), Sm at (0.0910, 0.7500, 0.5906), Sm at (0.3617, 0.2500, 0.5287) and Cd at (0.1394, 0.2500, 0.9678).

The calculation puts the magnetization at 0.00 μB per atom. Its energy of formation is -0.038 eV per atom. Its energy relative to the lowest polymorph listed for this composition is 0.010 eV per atom. As for the density: 7.177 g cm⁻³.


3.
Material: KTlSn
Method: DFT, PBE-GGA
State: optimized geometry

The space group is C2/m (No. 12) and the conventional cell measures 14.3770, 3.9135 and 8.9731 Å, with angles of 90.00, 119.82 and 90.00 degrees. Symmetry generates all atoms from K at (0.0653, 0.0000, 0.2651), Tl at (0.1516, 0.5000, 0.6603) and Sn at (0.1793, 0.5000, 0.0278).

The calculation puts the magnetization at 0.00 μB per atom. Its energy of formation is -0.155 eV per atom. As for the density: 5.493 g cm⁻³.


4.
Material: SrSm2HoSe4
Method: DFT, PBE-GGA
State: optimized geometry

The space group is P2/m (No. 10) and the conventional cell measures 7.2697, 4.1710 and 7.2997 Å, with angles of 90.00, 109.02 and 90.00 degrees. Symmetry generates all atoms from Sr at (0.0000, 0.0000, 0.0000), Sm at (0.0000, 0.5000, 0.5000), Sm at (0.5000, 0.0000, 0.5000), Ho at (0.5000, 0.5000, 0.0000), Se at (0.2602, 0.0000, 0.7549) and Se at (0.2606, 0.5000, 0.2526).

The calculation puts the magnetization at 0.00 μB per atom. As for the density: 6.897 g cm⁻³. Its uncorrected formation energy is -1405 kJ/mol of formula units.


5.
Material: SbC4
Method: DFT, PBE-GGA
State: optimized geometry

The space group is C2/m (No. 12) and the conventional cell measures 6.0213, 3.4579 and 6.6460 Å, with angles of 90.00, 107.43 and 90.00 degrees. Symmetry generates all atoms from Sb at (0.0000, 0.0000, 0.0000), C at (0.0338, 0.5000, 0.6004) and C at (0.1045, 0.5000, 0.8104).

The calculation puts the magnetization at 0.00 μB per atom. Its energy relative to the lowest polymorph listed for this composition is 0.000 eV per atom. As for the density: 4.271 g cm⁻³. Its uncorrected formation energy is 508 kJ/mol of formula units.


6.
Material: HoTh2Ta
Method: DFT, PBE-GGA
State: optimized geometry

The space group is R-3m (No. 166, hexagonal axes) and the conventional cell measures 3.3050, 3.3050 and 36.1110 Å, with angles of 90.00, 90.00 and 120.00 degrees. Symmetry generates all atoms from Ho at (0.0000, 0.0000, 0.0000), Th at (0.0000, 0.0000, 0.4188) and Ta at (0.0000, 0.0000, 0.5000).

The calculation puts the magnetization at 0.00 μB per atom. Its energy of formation is 0.613 eV per atom. As for the density: 11.812 g cm⁻³.


7.
Material: ZrSe2BrN
Method: DFT, PBE-GGA
State: optimized geometry

The space group is P4/mmm (No. 123) and the conventional cell measures 4.5783, 4.5783 and 4.3222 Å, with angles of 90.00, 90.00 and 90.00 degrees. Symmetry generates all atoms from Zr at (0.0000, 0.0000, 0.0000), Se at (0.0000, 0.5000, 0.5000), Br at (0.5000, 0.5000, 0.0000) and N at (0.5000, 0.5000, 0.5000).

The calculation puts the magnetization at 0.00 μB per atom. Its energy relative to the lowest polymorph listed for this composition is 0.367 eV per atom. As for the density: 6.288 g cm⁻³. Its uncorrected formation energy is 241 kJ/mol of formula units.


8.
Material: CrReOs2
Method: DFT, PBE-GGA
State: optimized geometry

The space group is C2/m (No. 12) and the conventional cell measures 8.9487, 2.7141 and 4.6841 Å, with angles of 90.00, 100.28 and 90.00 degrees. Symmetry generates all atoms from Cr at (0.0000, 0.0000, 0.0000), Re at (0.0000, 0.5000, 0.5000) and Os at (0.2473, 0.5000, 0.2421).

The calculation puts the magnetization at 0.00 μB per atom. Its energy of formation is 0.105 eV per atom. Its energy relative to the lowest polymorph listed for this composition is 0.030 eV per atom. As for the density: 18.355 g cm⁻³.


9.
Material: NbAs2Ru
Method: DFT, PBE-GGA
State: optimized geometry

The space group is R-3m (No. 166, hexagonal axes) and the conventional cell measures 3.9206, 3.9206 and 15.2640 Å, with angles of 90.00, 90.00 and 120.00 degrees. Symmetry generates all atoms from Nb at (0.0000, 0.0000, 0.0000), As at (0.0000, 0.0000, 0.2407) and Ru at (0.0000, 0.0000, 0.5000).

The calculation puts the magnetization at 0.07 μB per atom. Its energy of formation is -0.055 eV per atom. Its energy relative to the lowest polymorph listed for this composition is 0.133 eV per atom. As for the density: 8.430 g cm⁻³.


10.
Material: PHCl
Method: DFT, PBE-GGA
State: optimized geometry

The space group is P1 (No. 1) and the conventional cell measures 4.9725, 5.5675 and 6.6026 Å, with angles of 108.58, 110.91 and 98.61 degrees. Symmetry generates all atoms from P at (0.0000, 0.0000, 0.0000), P at (0.1580, 0.8900, 0.7151), H at (0.3053, 0.0976, 0.1781), H at (0.9658, 0.7391, 0.9982), Cl at (0.2656, 0.2669, 0.7148) and Cl at (0.7344, 0.7069, 0.4276).

The calculation puts the magnetization at 0.00 μB per atom. Its energy relative to the lowest polymorph listed for this composition is 0.002 eV per atom. As for the density: 1.449 g cm⁻³.


11.
Material: PrYPuO6
Method: DFT, PBE-GGA
State: optimized geometry

The space group is P-31c (No. 163) and the conventional cell measures 5.7887, 5.7887 and 9.8472 Å, with angles of 90.00, 90.00 and 120.00 degrees. Symmetry generates all atoms from Pr at (0.0000, 0.0000, 0.0000), Y at (0.3333, 0.6667, 0.2500), Pu at (0.3333, 0.6667, 0.7500) and O at (0.0263, 0.3659, 0.6375).

The calculation puts the magnetization at 0.22 μB per atom. As for the density: 6.622 g cm⁻³. Its uncorrected formation energy is -2628 kJ/mol of formula units.


12.
Material: La2EuGd
Method: DFT, PBE-GGA
State: optimized geometry

The space group is R-3m (No. 166, hexagonal axes) and the conventional cell measures 3.6402, 3.6402 and 38.8122 Å, with angles of 90.00, 90.00 and 120.00 degrees. Symmetry generates all atoms from La at (0.0000, 0.0000, 0.0903), Eu at (0.0000, 0.0000, 0.0000) and Gd at (0.0000, 0.0000, 0.5000).

The calculation puts the magnetization at 0.15 μB per atom. Its energy of formation is 0.122 eV per atom. Its energy relative to the lowest polymorph listed for this composition is 0.098 eV per atom. As for the density: 6.566 g cm⁻³.


13.
Material: SmTm3In2
Method: DFT, PBE-GGA
State: optimized geometry

The space group is Cmmm (No. 65) and the conventional cell measures 5.3777, 16.7169 and 3.6995 Å, with angles of 90.00, 90.00 and 90.00 degrees. Symmetry generates all atoms from Sm at (0.0000, 0.0000, 0.0000), Tm at (0.0000, 0.1797, 0.5000), Tm at (0.0000, 0.5000, 0.5000) and In at (0.0000, 0.3453, 0.0000).

The calculation puts the magnetization at 0.00 μB per atom. Its energy of formation is -0.263 eV per atom. Its energy relative to the lowest polymorph listed for this composition is 0.015 eV per atom. As for the density: 8.855 g cm⁻³.


14.
Material: ZrAl2Cl
Method: DFT, PBE-GGA
State: optimized geometry

The space group is Cmmm (No. 65) and the conventional cell measures 5.8150, 8.6625 and 3.0619 Å, with angles of 90.00, 90.00 and 90.00 degrees. Symmetry generates all atoms from Zr at (0.0000, 0.0000, 0.0000), Al at (0.2500, 0.2500, 0.5000) and Cl at (0.0000, 0.5000, 0.0000).

The calculation puts the magnetization at 0.00 μB per atom. Its energy relative to the lowest polymorph listed for this composition is 0.204 eV per atom. As for the density: 3.890 g cm⁻³. Its uncorrected formation energy is -90 kJ/mol of formula units.


15.
Material: PaAlV
Method: DFT, PBE-GGA
State: optimized geometry

The space group is Imma (No. 74) and the conventional cell measures 5.3272, 5.4753 and 7.6294 Å, with angles of 90.00, 90.00 and 90.00 degrees. Symmetry generates all atoms from Pa at (0.0000, 0.2500, 0.1439), Al at (0.2500, 0.2500, 0.7500) and V at (0.0000, 0.0000, 0.5000).

The calculation puts the magnetization at 0.00 μB per atom. Its energy of formation is -0.127 eV per atom. Its energy relative to the lowest polymorph listed for this composition is 0.000 eV per atom. As for the density: 9.222 g cm⁻³.


16.
Material: EuThTl4
Method: DFT, PBE-GGA
State: optimized geometry

The space group is F-43m (No. 216) and the conventional cell measures 8.8916, 8.8916 and 8.8916 Å, with angles of 90.00, 90.00 and 90.00 degrees. Symmetry generates all atoms from Eu at (0.0000, 0.0000, 0.0000), Th at (0.2500, 0.2500, 0.2500) and Tl at (0.1247, 0.1247, 0.6247).

The calculation puts the magnetization at 1.27 μB per atom. Its energy of formation is -0.035 eV per atom. As for the density: 11.353 g cm⁻³.


17.
Material: SrCuRu2
Method: DFT, PBE-GGA
State: optimized geometry

The space group is F-43m (No. 216) and the conventional cell measures 6.5424, 6.5424 and 6.5424 Å, with angles of 90.00, 90.00 and 90.00 degrees. Symmetry generates all atoms from Sr at (0.0000, 0.0000, 0.0000), Cu at (0.2500, 0.2500, 0.7500), Ru at (0.0000, 0.0000, 0.5000) and Ru at (0.2500, 0.2500, 0.2500).

The calculation puts the magnetization at 0.15 μB per atom. Its energy of formation is 0.685 eV per atom. Its energy relative to the lowest polymorph listed for this composition is 0.528 eV per atom. As for the density: 8.380 g cm⁻³.


18.
Material: ThInTe
Method: DFT, PBE-GGA
State: optimized geometry

The space group is I4/mmm (No. 139) and the conventional cell measures 4.3821, 4.3821 and 18.5176 Å, with angles of 90.00, 90.00 and 90.00 degrees. Symmetry generates all atoms from Th at (0.0000, 0.0000, 0.1372), In at (0.0000, 0.5000, 0.0000) and Te at (0.0000, 0.0000, 0.3157).

The calculation puts the magnetization at 0.00 μB per atom. As for the density: 8.863 g cm⁻³. Its uncorrected formation energy is -232 kJ/mol of formula units.


19.
Material: ZnCuPb
Method: DFT, PBE-GGA
State: optimized geometry

The space group is F-43m (No. 216) and the conventional cell measures 6.2889, 6.2889 and 6.2889 Å, with angles of 90.00, 90.00 and 90.00 degrees. Symmetry generates all atoms from Zn at (0.0000, 0.0000, 0.0000), Cu at (0.2500, 0.2500, 0.2500) and Pb at (0.0000, 0.0000, 0.5000).

The calculation puts the magnetization at 0.00 μB per atom. Its energy of formation is 0.149 eV per atom. Its energy relative to the lowest polymorph listed for this composition is 0.081 eV per atom. As for the density: 8.977 g cm⁻³.


20.
Material: Sr2LaNbH
Method: DFT, PBE-GGA
State: optimized geometry

The space group is P4/mmm (No. 123) and the conventional cell measures 5.1329, 5.1329 and 5.0375 Å, with angles of 90.00, 90.00 and 90.00 degrees. Symmetry generates all atoms from Sr at (0.0000, 0.5000, 0.0000), La at (0.0000, 0.0000, 0.5000), Nb at (0.5000, 0.5000, 0.5000) and H at (0.5000, 0.5000, 0.0000).

The calculation puts the magnetization at 0.00 μB per atom. As for the density: 5.105 g cm⁻³.


Listing DFT total energy for the structures above in their given order: -33.0; -78.4; -31.7; -44.2; -71.5; -86.5; -23.0; -88.2; -86.6; -23.1; -165.1; -101.2; -50.4; -37.6; -90.9; -109.5; -86.4; -62.8; -34.5; -19.4 eV for the cell shown.